## Zn4AgHg (PBE)

Data for a relaxed structure of Zn4AgHg.

Cell: 5.202 5.202 5.202 Å, 60.00 60.00 60.00°
Sites, in units of the cell vectors:
Ag: 0.250 0.250 0.250
Hg: 0.000 0.000 0.000
Zn: 0.126 0.625 0.625
Zn: 0.625 0.625 0.625
Zn: 0.625 0.126 0.625
Zn: 0.625 0.625 0.126

Values from the calculation:
**Energy of formation**: 0.06 eV/atom

***

## Na5B7C3 (PBE)

Data for a relaxed structure of Na5B7C3.

Cell: 9.037 9.037 13.372 Å, 113.02 113.02 18.08°
Sites, in units of the cell vectors:
Na: 0.998 0.998 0.001
Na: 0.200 0.200 0.898
Na: 0.201 0.201 0.401
Na: 0.400 0.400 0.301
Na: 0.399 0.399 0.798
Na: 0.600 0.600 0.697
Na: 0.599 0.599 0.204
Na: 0.803 0.803 0.100
Na: 0.799 0.799 0.598
Na: 0.000 0.000 0.499
B: 0.632 0.632 0.016
B: 0.827 0.827 0.903
B: 0.569 0.569 0.887
B: 0.832 0.832 0.414
B: 0.037 0.037 0.324
B: 0.765 0.765 0.281
B: 0.029 0.029 0.806
B: 0.231 0.231 0.710
B: 0.962 0.962 0.673
B: 0.367 0.367 0.984
B: 0.439 0.439 0.129
B: 0.174 0.174 0.100
B: 0.634 0.634 0.517
B: 0.370 0.370 0.490
C: 0.764 0.764 0.775
C: 0.971 0.971 0.193
C: 0.166 0.166 0.581
C: 0.234 0.234 0.219
C: 0.432 0.432 0.613
C: 0.569 0.569 0.387

Values from the calculation:
**Energy of formation**: 0.13 eV/atom
**Offset from the most stable computed form**: 17.7 meV/atom

***

## YCoAuN2 (PBE)

Data for a relaxed structure of YCoAuN2.

Cell: 4.338 5.748 4.338 Å, 90.00 90.00 90.00°
Sites, in units of the cell vectors:
Y: 0.000 0.000 0.000
Co: 0.500 0.500 0.500
Au: 0.000 0.500 0.000
N: 0.000 0.000 0.500
N: 0.500 0.000 0.000

Values from the calculation:
**Raw formation energy**: 1.42 eV per atom

***

## LiIr5Rh (PBE)

Data for a relaxed structure of LiIr5Rh.

Cell: 7.438 6.640 6.738 Å, 115.94 90.00 124.06°
Sites, in units of the cell vectors:
Li: 0.040 0.500 0.250
Li: 0.960 0.500 0.750
Ir: 0.805 0.688 0.188
Ir: 0.783 0.888 0.612
Ir: 0.383 0.688 0.688
Ir: 0.402 0.500 0.250
Ir: 0.395 0.112 0.888
Ir: 0.605 0.888 0.112
Ir: 0.598 0.500 0.750
Ir: 0.617 0.312 0.312
Ir: 0.217 0.112 0.388
Ir: 0.195 0.312 0.812
Rh: 0.000 0.000 0.000
Rh: 0.500 0.000 0.500

Values from the calculation:
**Energy of formation**: 0.30 eV/atom

***

## CaTeMo2 (PBE)

Data for a relaxed structure of CaTeMo2.

Cell: 5.346 5.346 5.226 Å, 78.54 78.54 37.77°
Sites, in units of the cell vectors:
Mo: 0.013 0.013 0.910
Mo: 0.487 0.487 0.590
Te: 0.750 0.750 0.750
Ca: 0.250 0.250 0.250

Values from the calculation:
**Raw formation energy**: 0.33 eV per atom

***

## Nb2RhS4 (PBE)

Data for a relaxed structure of Nb2RhS4.

Cell: 3.425 5.874 6.892 Å, 115.42 104.39 90.00°
Sites, in units of the cell vectors:
Nb: 0.746 0.740 0.491
Nb: 0.254 0.260 0.509
Rh: 0.000 0.000 0.000
S: 0.880 0.215 0.759
S: 0.120 0.785 0.241
S: 0.618 0.287 0.236
S: 0.382 0.713 0.764

Values from the calculation:
**Raw formation energy**: -0.86 eV per atom

***

## Rb2Tb3Cl10 (PBE)

Data for a relaxed structure of Rb2Tb3Cl10.

Cell: 7.514 10.758 13.098 Å, 110.57 106.67 90.00°
Sites, in units of the cell vectors:
Rb: 0.722 0.344 0.444
Rb: 0.278 0.656 0.556
Rb: 0.618 0.728 0.236
Rb: 0.382 0.272 0.764
Tb: 0.921 0.523 0.841
Tb: 0.079 0.477 0.159
Tb: 0.823 0.973 0.645
Tb: 0.177 0.027 0.355
Tb: 0.746 0.000 0.000
Tb: 0.254 0.000 0.000
Cl: 0.611 0.963 0.774
Cl: 0.163 0.963 0.774
Cl: 0.389 0.037 0.226
Cl: 0.837 0.037 0.226
Cl: 0.598 0.507 0.700
Cl: 0.101 0.507 0.700
Cl: 0.402 0.493 0.300
Cl: 0.899 0.493 0.300
Cl: 0.973 0.792 0.945
Cl: 0.027 0.208 0.055
Cl: 0.876 0.246 0.753
Cl: 0.124 0.754 0.247
Cl: 0.771 0.721 0.542
Cl: 0.229 0.279 0.458
Cl: 0.484 0.804 0.968
Cl: 0.516 0.196 0.032
Cl: 0.765 0.500 0.000
Cl: 0.235 0.500 0.000
Cl: 0.500 0.000 0.500
Cl: 0.000 0.000 0.500

Values from the calculation:
**Raw formation energy**: -2.13 eV per atom

***

## NaCa2Ni (PBE)

Data for a relaxed structure of NaCa2Ni.

Cell: 5.284 5.284 5.284 Å, 60.00 60.00 60.00°
Sites, in units of the cell vectors:
Ni: 0.500 0.500 0.500
Ca: 0.250 0.250 0.250
Ca: 0.750 0.750 0.750
Na: 0.000 0.000 0.000

Values from the calculation:
**Energy of formation**: 0.14 eV/atom
**Offset from the most stable computed form**: 201.7 meV/atom

***

## Mn4AgS8 (PBE)

Data for a relaxed structure of Mn4AgS8.

Cell: 7.007 7.007 7.007 Å, 60.00 60.00 60.00°
Sites, in units of the cell vectors:
Mn: 0.885 0.372 0.372
Mn: 0.372 0.885 0.372
Mn: 0.372 0.372 0.885
Mn: 0.372 0.372 0.372
Ag: 0.750 0.750 0.750
S: 0.592 0.136 0.136
S: 0.136 0.592 0.136
S: 0.136 0.136 0.592
S: 0.136 0.136 0.136
S: 0.171 0.610 0.610
S: 0.610 0.171 0.610
S: 0.610 0.610 0.171
S: 0.610 0.610 0.610

Values from the calculation:
**Raw formation energy**: -0.49 eV per atom

***

## AlZnN2 (PBE)

Data for a relaxed structure of AlZnN2.

Cell: 3.754 3.754 3.754 Å, 60.00 60.00 60.00°
Sites, in units of the cell vectors:
Zn: 0.500 0.500 0.500
Al: 0.000 0.000 0.000
N: 0.250 0.250 0.250
N: 0.750 0.750 0.750

Values from the calculation:
**Offset from the most stable computed form**: 1074.0 meV/atom
**Raw formation energy**: 0.71 eV per atom

***

## TmLuMgZr (PBE)

Data for a relaxed structure of TmLuMgZr.

Cell: 5.288 5.288 5.288 Å, 60.00 60.00 60.00°
Sites, in units of the cell vectors:
Mg: 0.500 0.500 0.500
Lu: 0.750 0.750 0.750
Tm: 0.250 0.250 0.250
Zr: 0.000 0.000 0.000

Values from the calculation:
**Energy of formation**: 0.13 eV/atom

***

## CaSi2Ru (PBE)

Data for a relaxed structure of CaSi2Ru.

Cell: 4.545 4.545 4.545 Å, 60.00 60.00 60.00°
Sites, in units of the cell vectors:
Ca: 0.500 0.500 0.500
Ru: 0.250 0.250 0.250
Si: 0.000 0.000 0.000
Si: 0.750 0.750 0.750

Values from the calculation:
**Raw formation energy**: 0.25 eV per atom

***

| no. | size of the total moment (μB per formula unit) | E (eV for the cell shown) |
| --- | --- | --- |
| 1 | 0.000 | -7.86 |
| 2 | 0.000 | -158.10 |
| 3 | 5.040 | -26.38 |
| 4 | 0.000 | -102.96 |
| 5 | 0.000 | -25.48 |
| 6 | 0.000 | -50.02 |
| 7 | 0.000 | -132.36 |
| 8 | 0.000 | -10.56 |
| 9 | 11.074 | -78.94 |
| 10 | 0.000 | -18.81 |
| 11 | 2.010 | -18.60 |
| 12 | 0.000 | -21.11 |